Record 1
# PBE Na2CaRuO6, optimized geometry
# Total magnetic moment, μB per cell: 0.095
# SG: P2_1/c, No. 14
# Calculated density, g cm⁻³: 3.6
# ΔE_f (raw), eV per formula unit: -13.93
# Total DFT energy (no corrections), eV/atom: -5.7598
data_Na2CaRuO6
_chemical_formula_sum 'Na4 Ca2 Ru2 O12'
_symmetry_space_group_name_H-M 'P 1'
_symmetry_Int_Tables_number 1
_symmetry_space_group_name_Hall 'P 1'
_cell_length_a 5.610
_cell_length_b 5.808
_cell_length_c 9.764
_cell_angle_alpha 90.00
_cell_angle_beta 124.54
_cell_angle_gamma 90.00
loop_
_atom_site_label
_atom_site_type_symbol
_atom_site_fract_x
_atom_site_fract_y
_atom_site_fract_z
Na1 Na 0.239 0.050 0.252
Na2 Na 0.239 0.450 0.752
Na3 Na 0.761 0.550 0.248
Na4 Na 0.761 0.950 0.748
Ca1 Ca 0.500 0.000 0.000
Ca2 Ca 0.500 0.500 0.500
Ru1 Ru 0.000 0.000 0.500
Ru2 Ru 0.000 0.500 0.000
O1 O 0.108 0.231 0.939
O2 O 0.108 0.269 0.439
O3 O 0.224 0.678 0.953
O4 O 0.224 0.822 0.453
O5 O 0.323 0.038 0.721
O6 O 0.323 0.462 0.221
O7 O 0.677 0.538 0.779
O8 O 0.677 0.962 0.279
O9 O 0.776 0.178 0.547
O10 O 0.776 0.322 0.047
O11 O 0.892 0.731 0.561
O12 O 0.892 0.769 0.061

Record 2
# PBE ErGa2Ni, optimized geometry
# Total magnetic moment, μB per cell: 0.000
# SG: Pnma, No. 62
# Calculated density, g cm⁻³: 8.9
# Total DFT energy (no corrections), eV/atom: -4.7311
data_ErGa2Ni
_chemical_formula_sum 'Er8 Ga16 Ni8'
_symmetry_space_group_name_H-M 'P 1'
_symmetry_Int_Tables_number 1
_symmetry_space_group_name_Hall 'P 1'
_cell_length_a 15.341
_cell_length_b 6.646
_cell_length_c 5.379
_cell_angle_alpha 90.00
_cell_angle_beta 90.00
_cell_angle_gamma 90.00
loop_
_atom_site_label
_atom_site_type_symbol
_atom_site_fract_x
_atom_site_fract_y
_atom_site_fract_z
Er1 Er 0.106 0.250 0.236
Er2 Er 0.144 0.750 0.479
Er3 Er 0.356 0.250 0.979
Er4 Er 0.394 0.750 0.736
Er5 Er 0.606 0.250 0.264
Er6 Er 0.644 0.750 0.021
Er7 Er 0.856 0.250 0.521
Er8 Er 0.894 0.750 0.764
Ga1 Ga 0.034 0.053 0.745
Ga2 Ga 0.034 0.447 0.745
Ga3 Ga 0.214 0.554 0.970
Ga4 Ga 0.214 0.946 0.970
Ga5 Ga 0.286 0.054 0.470
Ga6 Ga 0.286 0.446 0.470
Ga7 Ga 0.466 0.553 0.245
Ga8 Ga 0.466 0.947 0.245
Ga9 Ga 0.534 0.053 0.755
Ga10 Ga 0.534 0.447 0.755
Ga11 Ga 0.714 0.554 0.530
Ga12 Ga 0.714 0.946 0.530
Ga13 Ga 0.786 0.054 0.030
Ga14 Ga 0.786 0.446 0.030
Ga15 Ga 0.966 0.553 0.255
Ga16 Ga 0.966 0.947 0.255
Ni1 Ni 0.073 0.750 0.996
Ni2 Ni 0.175 0.250 0.722
Ni3 Ni 0.325 0.750 0.222
Ni4 Ni 0.427 0.250 0.496
Ni5 Ni 0.573 0.750 0.504
Ni6 Ni 0.675 0.250 0.778
Ni7 Ni 0.825 0.750 0.278
Ni8 Ni 0.927 0.250 0.004

Record 3
# PBE Rb4Er3HfS8, optimized geometry
# Total magnetic moment, μB per cell: 0.000
# SG: R-3m, No. 166
# Calculated density, g cm⁻³: 5.1
# ΔE_f (raw), eV per formula unit: -27.64
# Total DFT energy (no corrections), eV/atom: -5.5106
data_Rb4Er3HfS8
_chemical_formula_sum 'Rb4 Er3 Hf1 S8'
_symmetry_space_group_name_H-M 'P 1'
_symmetry_Int_Tables_number 1
_symmetry_space_group_name_Hall 'P 1'
_cell_length_a 8.945
_cell_length_b 8.945
_cell_length_c 8.945
_cell_angle_alpha 52.67
_cell_angle_beta 52.67
_cell_angle_gamma 52.67
loop_
_atom_site_label
_atom_site_type_symbol
_atom_site_fract_x
_atom_site_fract_y
_atom_site_fract_z
Rb1 Rb 0.000 0.000 0.000
Rb2 Rb 0.000 0.500 0.500
Rb3 Rb 0.500 0.000 0.500
Rb4 Rb 0.500 0.500 0.000
Er1 Er 0.000 0.000 0.500
Er2 Er 0.000 0.500 0.000
Er3 Er 0.500 0.000 0.000
Hf1 Hf 0.500 0.500 0.500
S1 S 0.231 0.231 0.231
S2 S 0.244 0.722 0.722
S3 S 0.278 0.278 0.756
S4 S 0.278 0.756 0.278
S5 S 0.722 0.244 0.722
S6 S 0.722 0.722 0.244
S7 S 0.756 0.278 0.278
S8 S 0.769 0.769 0.769

Record 4
# PBE TbPu2F8, optimized geometry
# Total magnetic moment, μB per cell: 11.000
# SG: C2/m, No. 12
# Calculated density, g cm⁻³: 6.9
# ΔE_f (raw), eV per formula unit: -40.28
# Total DFT energy (no corrections), eV/atom: -8.0494
data_TbPu2F8
_chemical_formula_sum 'Tb1 Pu2 F8'
_symmetry_space_group_name_H-M 'P 1'
_symmetry_Int_Tables_number 1
_symmetry_space_group_name_Hall 'P 1'
_cell_length_a 6.821
_cell_length_b 6.821
_cell_length_c 7.415
_cell_angle_alpha 100.66
_cell_angle_beta 100.66
_cell_angle_gamma 34.48
loop_
_atom_site_label
_atom_site_type_symbol
_atom_site_fract_x
_atom_site_fract_y
_atom_site_fract_z
Tb1 Tb 0.000 0.000 0.000
Pu1 Pu 0.238 0.238 0.735
Pu2 Pu 0.762 0.762 0.265
F1 F 0.060 0.060 0.744
F2 F 0.190 0.190 0.072
F3 F 0.302 0.302 0.441
F4 F 0.427 0.427 0.867
F5 F 0.573 0.573 0.133
F6 F 0.698 0.698 0.559
F7 F 0.810 0.810 0.928
F8 F 0.940 0.940 0.256